The following is a DFT calculation (PBE) of a geometry-optimized Ge2S2I structure.

Properties
Mass density, g cm⁻³: 4.24
E_tot, eV per atom: -3.86

abc: 4.445 4.445 7.377
angles: 104.36 104.36 100.94
Fractional positions:
1 Ge 0.551 0.551 0.278
2 Ge 0.449 0.449 0.722
3 S 0.250 0.750 0.500
4 S 0.750 0.250 0.500
5 I 0.000 0.000 0.000